VASP calculation (PBE) on a geometry-optimized Pm4PrNdSm2 structure.

Computed properties:
The symmetry is P2/m, No. 10. The calculation puts the formation energy at 0.02 eV/atom.

Unit cell a=6.324 b=3.662 c=12.157 alpha=90.00 beta=100.28 gamma=90.00
Sites, in units of the cell vectors:
1 Pm 0.249 0.000 0.249
2 Pm 0.250 0.500 0.750
3 Pm 0.750 0.500 0.250
4 Pm 0.751 0.000 0.751
5 Pr 0.500 0.500 0.500
6 Nd 0.500 0.000 0.000
7 Sm 0.000 0.000 0.500
8 Sm 0.000 0.500 0.000